Entry 1:
The following is a DFT calculation (PBE-GGA) of a geometry-optimized Tm2Sc3Al4 structure. Values from VASP.

Structure (Quantum ESPRESSO input):
```
&SYSTEM
  ibrav = 0, nat = 18, ntyp = 3
/
ATOMIC_SPECIES
Tm 168.93 Tm.upf
Sc 44.96 Sc.upf
Al 26.98 Al.upf
CELL_PARAMETERS angstrom
3.1756 -7.7864 0.0000
3.1756 7.7864 0.0000
0.0000 0.0000 8.2926
ATOMIC_POSITIONS angstrom
Tm 3.1756 6.0806 7.6026
Tm 3.1756 1.7057 3.4563
Tm 3.1756 -1.7057 4.8363
Tm 3.1756 -6.0806 0.6900
Sc 0.0000 0.0000 4.1463
Sc 1.5878 3.4160 6.2194
Sc 1.5878 -3.4160 2.0731
Sc 3.1756 0.0000 0.0000
Sc 4.7634 3.4160 6.2194
Sc 4.7634 -3.4160 2.0731
Al 3.1756 4.9530 4.4562
Al 1.5878 0.6228 6.2194
Al 1.5878 -0.6228 2.0731
Al 3.1756 2.8333 0.3099
Al 3.1756 -2.8333 7.9827
Al 4.7634 0.6228 6.2194
Al 4.7634 -0.6228 2.0731
Al 3.1756 -4.9530 3.8364
```

Values from the calculation:
Space group ... Cmce, No. 64
E_form ... -199 meV/atom
Total magnetic moment ... 0.00 μB/f.u.

***

Entry 2:
The following is a DFT calculation (PBE-GGA) of a geometry-optimized La3Nd3Ga2 structure. Values from VASP.

Structure (Quantum ESPRESSO input):
```
&SYSTEM
  ibrav = 0, nat = 16, ntyp = 3
/
ATOMIC_SPECIES
La 138.91 La.upf
Nd 144.24 Nd.upf
Ga 69.72 Ga.upf
CELL_PARAMETERS angstrom
2.2592 -6.0470 0.0000
2.2592 6.0470 0.0000
0.0000 0.0000 18.4281
ATOMIC_POSITIONS angstrom
La 2.2592 5.5232 11.3359
La 2.2592 5.5232 16.3062
La 2.2592 2.0955 13.8211
La 2.2592 -2.0955 4.6070
La 2.2592 -5.5232 2.1218
La 2.2592 -5.5232 7.0922
Nd 2.2592 1.7800 9.6420
Nd 2.2592 1.7800 18.0001
Nd 2.2592 1.3089 4.6070
Nd 2.2592 -1.3089 13.8211
Nd 2.2592 -1.7800 0.4280
Nd 2.2592 -1.7800 8.7861
Ga 2.2592 3.1532 2.3191
Ga 2.2592 3.1532 6.8949
Ga 2.2592 -3.1532 11.5332
Ga 2.2592 -3.1532 16.1090
```

Values from the calculation:
Space group ... Cmcm, No. 63
E_form ... -228 meV/atom
Total magnetic moment ... 0.00 μB/f.u.

***

Entry 3:
The following is a DFT calculation (PBE-GGA) of a geometry-optimized Ga2B2I structure. Values from VASP.

Structure (Quantum ESPRESSO input):
```
&SYSTEM
  ibrav = 0, nat = 10, ntyp = 3
/
ATOMIC_SPECIES
Ga 69.72 Ga.upf
B 10.81 B.upf
I 126.90 I.upf
CELL_PARAMETERS angstrom
7.1108 0.0000 0.0000
0.0000 7.1108 0.0000
0.0000 0.0000 3.5613
ATOMIC_POSITIONS angstrom
Ga 1.0712 2.4842 0.0000
Ga 2.4842 6.0395 0.0000
Ga 4.6266 1.0712 0.0000
Ga 6.0395 4.6266 0.0000
B 0.5714 4.1268 1.7806
B 2.9840 0.5714 1.7806
B 4.1268 6.5394 1.7806
B 6.5394 2.9840 1.7806
I 0.0000 0.0000 1.7806
I 3.5554 3.5554 1.7806
```

Values from the calculation:
Space group ... P4/mbm, No. 127
Excess energy over the best structure of this formula in the dataset ... 199 meV/atom
Total magnetic moment ... 0.00 μB/f.u.

***

Entry 4:
The following is a DFT calculation (PBE-GGA) of a geometry-optimized Cr2SbAs structure. Values from VASP.

Structure (Quantum ESPRESSO input):
```
&SYSTEM
  ibrav = 0, nat = 4, ntyp = 3
/
ATOMIC_SPECIES
Cr 52.00 Cr.upf
Sb 121.76 Sb.upf
As 74.92 As.upf
CELL_PARAMETERS angstrom
3.0370 0.0000 0.0000
0.0000 3.0370 0.0000
0.0000 0.0000 7.5858
ATOMIC_POSITIONS angstrom
Cr 0.0000 0.0000 0.0000
Cr 1.5185 1.5185 1.1977
Sb 0.0000 0.0000 3.0026
As 1.5185 1.5185 6.1324
```

Values from the calculation:
Space group ... P4mm, No. 99
Total energy ... -6.915 eV per atom
Total magnetic moment ... 0.24 μB/f.u.

***

Entry 5:
The following is a DFT calculation (PBE-GGA) of a geometry-optimized PuU2 structure. Values from VASP.

Structure (Quantum ESPRESSO input):
```
&SYSTEM
  ibrav = 0, nat = 3, ntyp = 2
/
ATOMIC_SPECIES
Pu 244.00 Pu.upf
U 238.03 U.upf
CELL_PARAMETERS angstrom
-1.6391 1.6391 5.9652
1.6391 -1.6391 5.9652
1.6391 1.6391 -5.9652
ATOMIC_POSITIONS angstrom
Pu 0.0000 0.0000 0.0000
U 0.0000 0.0000 3.8598
U 0.0000 0.0000 8.0706
```

Values from the calculation:
Space group ... I4/mmm, No. 139
Excess energy over the best structure of this formula in the dataset ... 66 meV/atom
E_form ... 248 meV/atom
Total magnetic moment ... 2.48 μB/f.u.

***

Entry 6:
The following is a DFT calculation (PBE-GGA) of a geometry-optimized Tb7Sn2Te2 structure. Values from VASP.

Structure (Quantum ESPRESSO input):
```
&SYSTEM
  ibrav = 0, nat = 11, ntyp = 3
/
ATOMIC_SPECIES
Tb 158.93 Tb.upf
Sn 118.71 Sn.upf
Te 127.60 Te.upf
CELL_PARAMETERS angstrom
4.3588 -5.5098 0.0000
4.3588 5.5098 0.0000
0.0000 0.0000 7.1558
ATOMIC_POSITIONS angstrom
Tb 0.0000 0.0000 0.0000
Tb 2.1794 2.7549 1.9830
Tb 2.1794 2.7549 5.1728
Tb 2.1794 -2.7549 1.9830
Tb 2.1794 -2.7549 5.1728
Tb 4.3588 0.0000 1.8841
Tb 4.3588 0.0000 5.2716
Sn 1.5698 0.0000 3.5779
Sn 7.1477 0.0000 3.5779
Te 4.3588 2.4460 0.0000
Te 4.3588 -2.4460 0.0000
```

Values from the calculation:
Space group ... Cmmm, No. 65
Total energy ... -4.706 eV per atom
Total magnetic moment ... 0.00 μB/f.u.

***

Entry 7:
The following is a DFT calculation (PBE-GGA) of a geometry-optimized La6Hg3Ir2Rh structure. Values from VASP.

Structure (Quantum ESPRESSO input):
```
&SYSTEM
  ibrav = 0, nat = 12, ntyp = 4
/
ATOMIC_SPECIES
La 138.91 La.upf
Hg 200.59 Hg.upf
Ir 192.22 Ir.upf
Rh 102.91 Rh.upf
CELL_PARAMETERS angstrom
3.6327 -6.2887 0.0000
3.6327 6.2887 0.0000
-2.4172 0.0000 7.9726
ATOMIC_POSITIONS angstrom
La 0.0001 2.1049 6.3893
La 1.2025 0.0000 1.5859
La 0.0001 -2.1049 6.3893
La 4.8480 2.1049 1.5834
La 3.6457 0.0000 6.3867
La 4.8480 -2.1049 1.5834
Hg -1.2086 0.0000 3.9863
Hg 2.4241 2.0938 3.9863
Hg 2.4241 -2.0938 3.9863
Ir 3.6327 4.1937 0.0000
Ir 3.6327 -4.1937 0.0000
Rh 3.6327 0.0000 0.0000
```

Values from the calculation:
Space group ... C2/m, No. 12
E_form ... -642 meV/atom
Total magnetic moment ... 0.00 μB/f.u.

***

Entry 8:
The following is a DFT calculation (PBE-GGA) of a geometry-optimized TbPr2Th structure. Values from VASP.

Structure (Quantum ESPRESSO input):
```
&SYSTEM
  ibrav = 0, nat = 8, ntyp = 3
/
ATOMIC_SPECIES
Tb 158.93 Tb.upf
Pr 140.91 Pr.upf
Th 232.04 Th.upf
CELL_PARAMETERS angstrom
6.3015 -3.6276 0.0000
6.3015 3.6276 0.0000
-2.0731 0.0000 5.9686
ATOMIC_POSITIONS angstrom
Tb 4.7467 2.6947 4.4764
Tb 5.7832 -2.6947 1.4921
Pr 1.6168 0.9227 4.4887
Pr 2.6534 -0.9227 1.5044
Pr 7.8766 0.9227 4.4642
Pr 8.9131 -0.9227 1.4799
Th 5.7832 0.8395 1.4921
Th 4.7467 -0.8395 4.4764
```

Values from the calculation:
Space group ... C2/c, No. 15
Excess energy over the best structure of this formula in the dataset ... 19 meV/atom
E_form ... 55 meV/atom
Total magnetic moment ... 0.00 μB/f.u.

***

Entry 9:
The following is a DFT calculation (PBE-GGA) of a geometry-optimized LiPr2H3Pd12 structure. Values from VASP.

Structure (Quantum ESPRESSO input):
```
&SYSTEM
  ibrav = 0, nat = 18, ntyp = 4
/
ATOMIC_SPECIES
Li 6.94 Li.upf
Pr 140.91 Pr.upf
H 1.01 H.upf
Pd 106.42 Pd.upf
CELL_PARAMETERS angstrom
3.6258 2.0934 6.0971
-3.6258 2.0934 6.0971
0.0000 -4.1867 6.0971
ATOMIC_POSITIONS angstrom
Li 0.0000 0.0000 0.0000
Pr 0.0000 0.0000 7.3801
Pr 0.0000 0.0000 10.9112
H -3.6258 0.0000 9.1456
H -1.8129 1.0467 3.0485
H 1.8129 1.0467 3.0486
Pd -2.2493 -1.2986 9.4670
Pd 0.0000 -1.7216 5.1679
Pd -1.4910 0.8608 5.1679
Pd 0.0000 -2.5973 8.8243
Pd -2.2493 1.2986 8.8243
Pd -1.4910 -0.8608 13.1234
Pd 1.4910 0.8608 5.1679
Pd 2.2493 -1.2986 9.4670
Pd 0.0000 2.5973 9.4670
Pd 1.4910 -0.8608 13.1234
Pd 0.0000 1.7216 13.1234
Pd 2.2493 1.2986 8.8243
```

Values from the calculation:
Space group ... R-3m, No. 166
Total energy ... -4.958 eV per atom
Total magnetic moment ... 0.00 μB/f.u.

***

Entry 10:
The following is a DFT calculation (PBE-GGA) of a geometry-optimized ZrOs2Pt structure. Values from VASP.

Structure (Quantum ESPRESSO input):
```
&SYSTEM
  ibrav = 0, nat = 4, ntyp = 3
/
ATOMIC_SPECIES
Zr 91.22 Zr.upf
Os 190.23 Os.upf
Pt 195.08 Pt.upf
CELL_PARAMETERS angstrom
4.6519 -1.4392 0.0000
4.6519 1.4392 0.0000
-0.8852 0.0000 4.8672
ATOMIC_POSITIONS angstrom
Zr 0.0000 0.0000 0.0000
Os 1.6491 0.0000 3.5301
Os 6.7696 0.0000 1.3371
Pt 4.2093 0.0000 2.4336
```

Values from the calculation:
Space group ... C2/m, No. 12
E_form ... -127 meV/atom
Total magnetic moment ... 0.00 μB/f.u.

***

Entry 11:
The following is a DFT calculation (PBE-GGA) of a geometry-optimized LiLuZrCd structure. Values from VASP.

Structure (Quantum ESPRESSO input):
```
&SYSTEM
  ibrav = 0, nat = 4, ntyp = 4
/
ATOMIC_SPECIES
Li 6.94 Li.upf
Lu 174.97 Lu.upf
Zr 91.22 Zr.upf
Cd 112.41 Cd.upf
CELL_PARAMETERS angstrom
0.0000 3.5517 3.5517
3.5517 0.0000 3.5517
3.5517 3.5517 0.0000
ATOMIC_POSITIONS angstrom
Li 0.0000 0.0000 0.0000
Lu 1.7758 1.7758 1.7758
Zr 5.3275 5.3275 5.3275
Cd 3.5517 3.5517 3.5517
```

Values from the calculation:
Space group ... F-43m, No. 216
E_form ... 48 meV/atom
Total magnetic moment ... 1.03 μB/f.u.

***

Entry 12:
The following is a DFT calculation (PBE-GGA) of a geometry-optimized SrMo2Pd structure. Values from VASP.

Structure (Quantum ESPRESSO input):
```
&SYSTEM
  ibrav = 0, nat = 4, ntyp = 3
/
ATOMIC_SPECIES
Sr 87.62 Sr.upf
Mo 95.94 Mo.upf
Pd 106.42 Pd.upf
CELL_PARAMETERS angstrom
0.0000 3.3227 3.3227
3.3227 0.0000 3.3227
3.3227 3.3227 0.0000
ATOMIC_POSITIONS angstrom
Sr 0.0000 0.0000 0.0000
Mo 1.6614 1.6614 1.6614
Mo 4.9841 4.9841 4.9841
Pd 3.3227 3.3227 3.3227
```

Values from the calculation:
Space group ... Fm-3m, No. 225
Excess energy over the best structure of this formula in the dataset ... 242 meV/atom
E_form ... 1135 meV/atom
Total magnetic moment ... 0.00 μB/f.u.